1.
The following is a DFT calculation (PBE) of a relaxed Na2LiInSb crystal.

The structure in CIF format:
```
data_Na2LiInSb
_symmetry_space_group_name_H-M 'P 4/m m m'
_symmetry_Int_Tables_number 123
_symmetry_space_group_name_Hall '-P 4 2'
_cell_length_a 5.5957
_cell_length_b 5.5957
_cell_length_c 5.1531
_cell_angle_alpha 90.00
_cell_angle_beta 90.00
_cell_angle_gamma 90.00
loop_
_atom_site_label
_atom_site_type_symbol
_atom_site_fract_x
_atom_site_fract_y
_atom_site_fract_z
_atom_site_occupancy
Na1 Na 0.0000 0.5000 0.0000 1
Li1 Li 0.0000 0.0000 0.5000 1
In1 In 0.0000 0.0000 0.0000 1
Sb1 Sb 0.5000 0.5000 0.5000 1
```

energy relative to the elements, uncorrected	1.48	eV per formula unit
Fermi-level density of states	0.809	states/eV/atom
M_tot	0.0	μB per formula unit

2.
The following is a DFT calculation (PBE) of a relaxed Li2Y2Fe crystal.

The structure in CIF format:
```
data_Li2Y2Fe
_symmetry_space_group_name_H-M 'P 4/m b m'
_symmetry_Int_Tables_number 127
_symmetry_space_group_name_Hall '-P 4 2ab'
_cell_length_a 6.7449
_cell_length_b 6.7449
_cell_length_c 4.4485
_cell_angle_alpha 90.00
_cell_angle_beta 90.00
_cell_angle_gamma 90.00
loop_
_atom_site_label
_atom_site_type_symbol
_atom_site_fract_x
_atom_site_fract_y
_atom_site_fract_z
_atom_site_occupancy
Li1 Li 0.1241 0.3759 0.0000 1
Y1 Y 0.1972 0.6972 0.5000 1
Fe1 Fe 0.0000 0.0000 0.0000 1
```

final energy	-0.16846	Ha/atom
Fermi-level density of states	1.494	states/eV/atom
M_tot	0.0	μB per formula unit

3.
The following is a DFT calculation (PBE) of a relaxed Ba2IrAu crystal.

The structure in CIF format:
```
data_Ba2IrAu
_symmetry_space_group_name_H-M 'F -4 3 m'
_symmetry_Int_Tables_number 216
_symmetry_space_group_name_Hall 'F -4 2 3'
_cell_length_a 7.5480
_cell_length_b 7.5480
_cell_length_c 7.5480
_cell_angle_alpha 90.00
_cell_angle_beta 90.00
_cell_angle_gamma 90.00
loop_
_atom_site_label
_atom_site_type_symbol
_atom_site_fract_x
_atom_site_fract_y
_atom_site_fract_z
_atom_site_occupancy
Ba1 Ba 0.0000 0.0000 0.0000 1
Ba2 Ba 0.2500 0.2500 0.2500 1
Ir1 Ir 0.2500 0.2500 0.7500 1
Au1 Au 0.0000 0.0000 0.5000 1
```

final energy	-0.14474	Ha/atom
Fermi-level density of states	0.379	states/eV/atom
M_tot	0.0	μB per formula unit

4.
The following is a DFT calculation (PBE) of a relaxed Zn2TcAg crystal.

The structure in CIF format:
```
data_Zn2TcAg
_symmetry_space_group_name_H-M 'P 1 m 1'
_symmetry_Int_Tables_number 6
_cell_length_a 2.7216
_cell_length_b 4.3396
_cell_length_c 5.2887
_cell_angle_alpha 90.00
_cell_angle_beta 104.50
_cell_angle_gamma 90.00
loop_
_symmetry_equiv_pos_as_xyz
'x,y,z'
'x,-y,z'
loop_
_atom_site_label
_atom_site_type_symbol
_atom_site_fract_x
_atom_site_fract_y
_atom_site_fract_z
_atom_site_occupancy
Zn1 Zn 0.0000 0.0000 0.0000 1
Zn2 Zn 0.1428 0.5000 0.2927 1
Tc1 Tc 0.4100 0.5000 0.8188 1
Ag1 Ag 0.7461 0.0000 0.4963 1
```

final energy	-0.13876	Ha/atom
Fermi-level density of states	0.782	states/eV/atom
M_tot	0.0	μB per formula unit

5.
The following is a DFT calculation (PBE) of a relaxed CaTb2Tl crystal.

The structure in CIF format:
```
data_CaTb2Tl
_symmetry_space_group_name_H-M 'C m c m'
_symmetry_Int_Tables_number 63
_symmetry_space_group_name_Hall '-C 2c 2'
_cell_length_a 4.7399
_cell_length_b 11.7869
_cell_length_c 9.4329
_cell_angle_alpha 90.00
_cell_angle_beta 90.00
_cell_angle_gamma 90.00
loop_
_atom_site_label
_atom_site_type_symbol
_atom_site_fract_x
_atom_site_fract_y
_atom_site_fract_z
_atom_site_occupancy
Ca1 Ca 0.0000 0.0573 0.2500 1
Tb1 Tb 0.0000 0.3542 0.0505 1
Tl1 Tl 0.0000 0.2391 0.7500 1
```

final energy	-0.12862	Ha/atom
Fermi-level density of states	0.953	states/eV/atom
M_tot	0.0	μB per formula unit

6.
The following is a DFT calculation (PBE) of a relaxed TeSe crystal.

The structure in CIF format:
```
data_TeSe
_symmetry_space_group_name_H-M 'P -3 m 1'
_symmetry_Int_Tables_number 164
_symmetry_space_group_name_Hall '-P 3 2"'
_cell_length_a 3.8535
_cell_length_b 3.8535
_cell_length_c 8.2817
_cell_angle_alpha 90.00
_cell_angle_beta 90.00
_cell_angle_gamma 120.00
loop_
_atom_site_label
_atom_site_type_symbol
_atom_site_fract_x
_atom_site_fract_y
_atom_site_fract_z
_atom_site_occupancy
Te1 Te 0.3333 0.6667 0.1367 1
Se1 Se 0.3333 0.6667 0.6186 1
```

energy relative to the elements, uncorrected	0.52	eV per formula unit
Fermi-level density of states	0.797	states/eV/atom
M_tot	0.0	μB per formula unit

7.
The following is a DFT calculation (PBE) of a relaxed ZrCuReBi crystal.

The structure in CIF format:
```
data_ZrCuReBi
_symmetry_space_group_name_H-M 'P m m 2'
_symmetry_Int_Tables_number 25
_cell_length_a 3.3813
_cell_length_b 4.6629
_cell_length_c 4.8221
_cell_angle_alpha 90.00
_cell_angle_beta 90.00
_cell_angle_gamma 90.00
loop_
_symmetry_equiv_pos_as_xyz
'x,y,z'
'-x,-y,z'
'-x,y,z'
'x,-y,z'
loop_
_atom_site_label
_atom_site_type_symbol
_atom_site_fract_x
_atom_site_fract_y
_atom_site_fract_z
_atom_site_occupancy
Zr1 Zr 0.0000 0.0000 0.0000 1
Cu1 Cu 0.5000 0.5000 0.8678 1
Re1 Re 0.5000 0.0000 0.5511 1
Bi1 Bi 0.0000 0.5000 0.4043 1
```

final energy	-0.25570	Ha/atom
Fermi-level density of states	0.551	states/eV/atom
M_tot	0.0	μB per formula unit

8.
The following is a DFT calculation (PBE) of a relaxed TaTiCuW crystal.

The structure in CIF format:
```
data_TaTiCuW
_symmetry_space_group_name_H-M 'F -4 3 m'
_symmetry_Int_Tables_number 216
_symmetry_space_group_name_Hall 'F -4 2 3'
_cell_length_a 6.3349
_cell_length_b 6.3349
_cell_length_c 6.3349
_cell_angle_alpha 90.00
_cell_angle_beta 90.00
_cell_angle_gamma 90.00
loop_
_atom_site_label
_atom_site_type_symbol
_atom_site_fract_x
_atom_site_fract_y
_atom_site_fract_z
_atom_site_occupancy
Ta1 Ta 0.0000 0.0000 0.0000 1
Ti1 Ti 0.0000 0.0000 0.5000 1
Cu1 Cu 0.2500 0.2500 0.2500 1
W1 W 0.2500 0.2500 0.7500 1
```

final energy	-0.33677	Ha/atom
Fermi-level density of states	1.122	states/eV/atom
M_tot	0.0	μB per formula unit

9.
The following is a DFT calculation (PBE) of a relaxed Ca3PrAg4 crystal.

The structure in CIF format:
```
data_Ca3PrAg4
_symmetry_space_group_name_H-M 'R -3 m'
_symmetry_Int_Tables_number 166
_symmetry_space_group_name_Hall '-R 3 2"'
_cell_length_a 5.2756
_cell_length_b 5.2756
_cell_length_c 25.7839
_cell_angle_alpha 90.00
_cell_angle_beta 90.00
_cell_angle_gamma 120.00
loop_
_atom_site_label
_atom_site_type_symbol
_atom_site_fract_x
_atom_site_fract_y
_atom_site_fract_z
_atom_site_occupancy
Ca1 Ca 0.0000 0.0000 0.0000 1
Ca2 Ca 0.0000 0.0000 0.2513 1
Pr1 Pr 0.0000 0.0000 0.5000 1
Ag1 Ag 0.0000 0.0000 0.1261 1
Ag2 Ag 0.0000 0.0000 0.3758 1
```

final energy	-0.11324	Ha/atom
Fermi-level density of states	0.639	states/eV/atom
M_tot	0.0	μB per formula unit

10.
The following is a DFT calculation (PBE) of a relaxed ZrOsPt2 crystal.

The structure in CIF format:
```
data_ZrOsPt2
_symmetry_space_group_name_H-M 'P 4 m m'
_symmetry_Int_Tables_number 99
_cell_length_a 2.8471
_cell_length_b 2.8471
_cell_length_c 8.1882
_cell_angle_alpha 90.00
_cell_angle_beta 90.00
_cell_angle_gamma 90.00
loop_
_symmetry_equiv_pos_as_xyz
'x,y,z'
'-y,x,z'
'-x,-y,z'
'y,-x,z'
'-x,y,z'
'y,x,z'
'x,-y,z'
'-y,-x,z'
loop_
_atom_site_label
_atom_site_type_symbol
_atom_site_fract_x
_atom_site_fract_y
_atom_site_fract_z
_atom_site_occupancy
Zr1 Zr 0.0000 0.0000 0.0000 1
Os1 Os 0.5000 0.5000 0.2660 1
Pt1 Pt 0.0000 0.0000 0.4898 1
Pt2 Pt 0.5000 0.5000 0.7465 1
```

final energy	-0.30105	Ha/atom
Fermi-level density of states	1.082	states/eV/atom
M_tot	0.0	μB per formula unit

- Which of these has the lowest Fermi-level density of states?
  Ba2IrAu

Please write out number 8 again, unchanged.
The following is a DFT calculation (PBE) of a relaxed TaTiCuW crystal.

The structure in CIF format:
```
data_TaTiCuW
_symmetry_space_group_name_H-M 'F -4 3 m'
_symmetry_Int_Tables_number 216
_symmetry_space_group_name_Hall 'F -4 2 3'
_cell_length_a 6.3349
_cell_length_b 6.3349
_cell_length_c 6.3349
_cell_angle_alpha 90.00
_cell_angle_beta 90.00
_cell_angle_gamma 90.00
loop_
_atom_site_label
_atom_site_type_symbol
_atom_site_fract_x
_atom_site_fract_y
_atom_site_fract_z
_atom_site_occupancy
Ta1 Ta 0.0000 0.0000 0.0000 1
Ti1 Ti 0.0000 0.0000 0.5000 1
Cu1 Cu 0.2500 0.2500 0.2500 1
W1 W 0.2500 0.2500 0.7500 1
```

final energy	-0.33677	Ha/atom
Fermi-level density of states	1.122	states/eV/atom
M_tot	0.0	μB per formula unit